A plane-wave DFT calculation with PBE+U was carried out for an optimized crystal structure of BeNiOsF2.

Unit cell a=3.9837 b=4.5981 c=3.9837 alpha=90.00 beta=90.00 gamma=90.00
With the nearest neighbours (Å) after each atom.
Positions (direct):
F (0.5000, 0.0000, 0.0000)  2 Os 1.99
F (0.0000, 0.0000, 0.5000)  2 Os 1.99
Be (0.0000, 0.5000, 0.0000)  2 Os 2.30
Os (0.0000, 0.0000, 0.0000)  4 F 1.99
Ni (0.5000, 0.5000, 0.5000)  4 Be 2.82, 8 F 3.04

Output
- energy (eV per atom) = -3.813
- space group = P4/mmm